Li2TiV3O8 | meta-GGA SCAN | PBEsol geometry

```
data_Li2TiV3O8
_chemical_formula_sum 'Li6 Ti3 V9 O24'
_space_group_name_H-M_alt 'R -3 m'
_space_group_IT_number 166
_space_group_name_Hall '-R 3 2"'
_cell_length_a 5.7612
_cell_length_b 5.7612
_cell_length_c 14.4366
_cell_angle_alpha 90.00
_cell_angle_beta 90.00
_cell_angle_gamma 120.00
loop_
_atom_site_label
_atom_site_type_symbol
_atom_site_fract_x
_atom_site_fract_y
_atom_site_fract_z
Li1 Li 0.0000 0.0000 0.1258
Ti1 Ti 0.0000 0.0000 0.5000
V1 V 0.0000 0.5000 0.0000
O1 O 0.0000 0.0000 0.2605
O2 O 0.0274 0.5137 0.2538
```

Calculated values
**Formation energy from raw total energies**: -2.764 eV/atom
**Total energy**: -11.56 eV/atom
**Total moment**: 15.0 μB/cell
**D(E_F)**: 5.37 states/eV per cell
**Energy above the most stable polymorph in this dataset**: 0 meV/atom